[1]
Compound: Li4Mn3SbO8
Source: Alexandria
Functional: meta-GGA SCAN
Structure: single point on PBEsol structure

a b c (Å): 5.987 5.988 5.989
angles (deg): 61.50 61.51 61.52
Fractional positions:
Li1 0.000 0.000 0.000
Li2 0.001 0.498 0.500
Li3 0.499 0.499 0.002
Li4 0.502 0.993 0.505
Mn1 0.001 0.000 0.499
Mn2 0.501 0.000 0.001
Mn3 0.501 0.498 0.500
Sb1 0.000 0.500 0.000
O1 0.232 0.263 0.764
O2 0.237 0.269 0.236
O3 0.237 0.736 0.768
O4 0.267 0.765 0.266
O5 0.735 0.233 0.734
O6 0.764 0.263 0.231
O7 0.764 0.731 0.763
O8 0.769 0.736 0.236

Energy above the most stable polymorph in this dataset in kJ per mole of atoms: 0.8
Fermi-level density of states in states/eV per cell: 4.4
SG: P1 (1)
E_form (uncorrected) in eV/f.u.: -32.31

=====

[2]
Compound: Li4Mn3SbO8
Source: Alexandria
Functional: meta-GGA SCAN
Structure: single point on PBEsol structure

a b c (Å): 5.964 5.964 10.492
angles (deg): 105.38 105.38 62.76
Fractional positions:
Li1 0.000 0.500 0.000
Li2 0.000 0.500 0.500
Li3 0.225 0.259 0.238
Li4 0.259 0.225 0.738
Li5 0.500 0.000 0.000
Li6 0.500 0.000 0.500
Li7 0.741 0.775 0.262
Li8 0.775 0.741 0.762
Mn1 0.000 0.000 0.000
Mn2 0.000 0.000 0.500
Mn3 0.252 0.748 0.750
Mn4 0.500 0.500 0.000
Mn5 0.500 0.500 0.500
Mn6 0.748 0.252 0.250
Sb1 0.254 0.746 0.250
Sb2 0.746 0.254 0.750
O1 0.092 0.136 0.874
O2 0.123 0.671 0.888
O3 0.127 0.619 0.364
O4 0.136 0.092 0.374
O5 0.329 0.877 0.612
O6 0.368 0.395 0.134
O7 0.381 0.873 0.136
O8 0.395 0.368 0.634
O9 0.605 0.632 0.366
O10 0.619 0.127 0.864
O11 0.632 0.605 0.866
O12 0.671 0.123 0.388
O13 0.864 0.908 0.626
O14 0.873 0.381 0.636
O15 0.877 0.329 0.112
O16 0.908 0.864 0.126

Energy above the most stable polymorph in this dataset in kJ per mole of atoms: 0.0
Fermi-level density of states in states/eV per cell: 2.1
SG: C2/c (15)
E_form (uncorrected) in eV/f.u.: -32.44

=====

[3]
Compound: Li3Mn4SbO8
Source: Alexandria
Functional: meta-GGA SCAN
Structure: single point on PBEsol structure

a b c (Å): 6.039 6.039 6.265
angles (deg): 119.90 119.90 62.74
Fractional positions:
Li1 0.000 0.000 0.000
Li2 0.000 0.500 0.500
Li3 0.500 0.000 0.500
Mn1 0.000 0.000 0.500
Mn2 0.000 0.500 0.000
Mn3 0.500 0.000 0.000
Mn4 0.500 0.500 0.000
Sb1 0.500 0.500 0.500
O1 0.250 0.250 0.761
O2 0.258 0.258 0.253
O3 0.262 0.726 0.726
O4 0.274 0.738 0.274
O5 0.726 0.262 0.726
O6 0.738 0.274 0.274
O7 0.742 0.742 0.747
O8 0.750 0.750 0.239

Fermi-level density of states in states/eV per cell: 1.2
SG: C2/m (12)
E_form (uncorrected) in eV/f.u.: -30.95

=====

[4]
Compound: Li4Mn3Sn3Sb2O16
Source: Alexandria
Functional: meta-GGA SCAN
Structure: single point on PBEsol structure

a b c (Å): 6.193 6.193 9.936
angles (deg): 90.15 90.15 59.25
Fractional positions:
Li1 0.000 0.000 0.000
Li2 0.017 0.017 0.516
Li3 0.337 0.337 0.610
Li4 0.661 0.661 0.097
Mn1 0.161 0.161 0.279
Mn2 0.342 0.821 0.794
Mn3 0.821 0.342 0.794
Sn1 0.163 0.662 0.287
Sn2 0.662 0.163 0.287
Sn3 0.828 0.828 0.790
Sb1 0.321 0.321 0.011
Sb2 0.664 0.664 0.522
O1 0.005 0.005 0.708
O2 0.036 0.466 0.161
O3 0.154 0.659 0.914
O4 0.159 0.159 0.906
O5 0.299 0.866 0.384
O6 0.345 0.345 0.401
O7 0.466 0.036 0.161
O8 0.473 0.473 0.151
O9 0.518 0.518 0.678
O10 0.522 0.970 0.660
O11 0.659 0.154 0.914
O12 0.662 0.662 0.898
O13 0.847 0.847 0.409
O14 0.866 0.299 0.384
O15 0.970 0.522 0.660
O16 0.981 0.981 0.175

Fermi-level density of states in states/eV per cell: 1.9
SG: Cm (8)
E_form (uncorrected) in eV/f.u.: -52.46

=====

[5]
Compound: Li4MnSb2WO12
Source: Alexandria
Functional: meta-GGA SCAN
Structure: single point on PBEsol structure

a b c (Å): 5.046 5.361 7.366
angles (deg): 94.72 90.04 90.02
Fractional positions:
Li1 0.000 0.000 0.000
Li2 0.000 0.012 0.463
Li3 0.498 0.547 0.992
Li4 0.503 0.672 0.396
Mn1 0.002 0.596 0.190
Sb1 0.000 0.591 0.690
Sb2 0.504 0.110 0.196
W1 0.499 0.102 0.697
O1 0.128 0.621 0.943
O2 0.185 0.272 0.622
O3 0.189 0.911 0.250
O4 0.315 0.431 0.244
O5 0.316 0.795 0.624
O6 0.371 0.109 0.936
O7 0.630 0.101 0.451
O8 0.669 0.417 0.756
O9 0.702 0.796 0.128
O10 0.811 0.923 0.751
O11 0.815 0.304 0.119
O12 0.877 0.620 0.437

Fermi-level density of states in states/eV per cell: 0.0
SG: P1 (1)
E_form (uncorrected) in eV/f.u.: -40.47

=====

[6]
Compound: Li4MnSbW2O12
Source: Alexandria
Functional: meta-GGA SCAN
Structure: single point on PBEsol structure

a b c (Å): 5.059 5.343 7.410
angles (deg): 85.83 89.87 89.96
Fractional positions:
Li1 0.000 0.000 0.000
Li2 0.005 0.005 0.531
Li3 0.502 0.352 0.936
Li4 0.508 0.469 0.526
Mn1 0.002 0.419 0.729
Sb1 0.507 0.914 0.234
W1 0.009 0.421 0.229
W2 0.500 0.908 0.732
O1 0.126 0.400 0.988
O2 0.184 0.098 0.295
O3 0.199 0.723 0.669
O4 0.308 0.215 0.674
O5 0.323 0.591 0.297
O6 0.377 0.917 0.980
O7 0.637 0.905 0.483
O8 0.687 0.602 0.781
O9 0.702 0.223 0.154
O10 0.804 0.104 0.783
O11 0.827 0.726 0.160
O12 0.881 0.403 0.468

Fermi-level density of states in states/eV per cell: 1.3
SG: P1 (1)
E_form (uncorrected) in eV/f.u.: -43.42

=====

[7]
Compound: Li4MnSi2O7
Source: Alexandria
Functional: meta-GGA SCAN
Structure: single point on PBEsol structure

a b c (Å): 7.162 7.162 8.010
angles (deg): 94.84 94.84 44.31
Fractional positions:
Li1 0.088 0.458 0.423
Li2 0.149 0.851 0.500
Li3 0.395 0.745 0.852
Li4 0.458 0.088 0.923
Li5 0.540 0.860 0.568
Li6 0.745 0.395 0.352
Li7 0.851 0.149 0.000
Li8 0.860 0.540 0.068
Mn1 0.266 0.588 0.147
Mn2 0.588 0.266 0.647
Si1 0.017 0.686 0.775
Si2 0.311 0.972 0.208
Si3 0.686 0.017 0.275
Si4 0.972 0.311 0.708
O1 0.065 0.436 0.844
O2 0.128 0.758 0.924
O3 0.192 0.578 0.607
O4 0.232 0.995 0.675
O5 0.367 0.741 0.306
O6 0.436 0.065 0.344
O7 0.484 0.850 0.042
O8 0.578 0.192 0.107
O9 0.696 0.944 0.739
O10 0.741 0.367 0.806
O11 0.758 0.128 0.424
O12 0.850 0.484 0.542
O13 0.944 0.696 0.239
O14 0.995 0.232 0.175

Energy above the most stable polymorph in this dataset in kJ per mole of atoms: 0.0
Fermi-level density of states in states/eV per cell: 0.0
SG: Cc (9)
E_form (uncorrected) in eV/f.u.: -37.21

=====

[8]
Compound: Li3Mn2Si2O8
Source: Alexandria
Functional: meta-GGA SCAN
Structure: single point on PBEsol structure

a b c (Å): 4.995 6.109 10.916
angles (deg): 90.00 90.36 90.00
Fractional positions:
Li1 0.000 0.018 0.000
Li2 0.000 0.982 0.500
Li3 0.498 0.239 0.409
Li4 0.498 0.761 0.909
Li5 0.996 0.269 0.767
Li6 0.996 0.731 0.267
Mn1 0.005 0.472 0.515
Mn2 0.005 0.528 0.015
Mn3 0.509 0.023 0.671
Mn4 0.509 0.977 0.171
Si1 0.491 0.266 0.927
Si2 0.491 0.734 0.427
Si3 0.996 0.233 0.253
Si4 0.996 0.767 0.753
O1 0.072 0.461 0.184
O2 0.072 0.539 0.684
O3 0.104 0.234 0.397
O4 0.104 0.766 0.897
O5 0.110 0.012 0.179
O6 0.110 0.988 0.679
O7 0.163 0.268 0.927
O8 0.163 0.732 0.427
O9 0.593 0.046 0.005
O10 0.593 0.954 0.505
O11 0.599 0.233 0.786
O12 0.599 0.767 0.286
O13 0.616 0.492 0.981
O14 0.616 0.508 0.481
O15 0.669 0.207 0.255
O16 0.669 0.793 0.755

Energy above the most stable polymorph in this dataset in kJ per mole of atoms: 1.2
Fermi-level density of states in states/eV per cell: 7.1
SG: Pc (7)
E_form (uncorrected) in eV/f.u.: -37.71

=====

[9]
Compound: Li3Mn2Si2O8
Source: Alexandria
Functional: meta-GGA SCAN
Structure: single point on PBEsol structure

a b c (Å): 5.127 5.127 6.503
angles (deg): 91.27 91.27 86.15
Fractional positions:
Li1 0.000 0.000 0.000
Li2 0.507 0.112 0.754
Li3 0.888 0.493 0.246
Mn1 0.504 0.135 0.267
Mn2 0.865 0.496 0.733
Si1 0.032 0.968 0.500
Si2 0.370 0.630 0.000
O1 0.050 0.601 0.991
O2 0.344 0.017 0.504
O3 0.399 0.950 0.009
O4 0.506 0.491 0.798
O5 0.509 0.494 0.202
O6 0.896 0.102 0.290
O7 0.898 0.104 0.710
O8 0.983 0.656 0.496

Energy above the most stable polymorph in this dataset in kJ per mole of atoms: 1.9
Fermi-level density of states in states/eV per cell: 5.1
SG: C2 (5)
E_form (uncorrected) in eV/f.u.: -37.60

=====

[10]
Compound: Li9Mn5Si2O16
Source: Alexandria
Functional: meta-GGA SCAN
Structure: single point on PBEsol structure

a b c (Å): 4.974 5.284 10.727
angles (deg): 87.96 80.03 85.50
Fractional positions:
Li1 0.000 0.000 0.000
Li2 0.064 0.753 0.436
Li3 0.183 0.249 0.310
Li4 0.330 0.720 0.186
Li5 0.411 0.270 0.058
Li6 0.589 0.730 0.942
Li7 0.670 0.280 0.814
Li8 0.817 0.751 0.690
Li9 0.936 0.247 0.564
Mn1 0.246 0.001 0.757
Mn2 0.371 0.502 0.627
Mn3 0.500 0.000 0.500
Mn4 0.629 0.498 0.373
Mn5 0.754 0.999 0.243
Si1 0.122 0.502 0.878
Si2 0.878 0.498 0.122
O1 0.040 0.185 0.152
O2 0.042 0.397 0.731
O3 0.169 0.894 0.597
O4 0.192 0.597 0.028
O5 0.292 0.397 0.470
O6 0.299 0.188 0.897
O7 0.417 0.893 0.343
O8 0.439 0.607 0.789
O9 0.561 0.393 0.211
O10 0.583 0.107 0.657
O11 0.701 0.812 0.103
O12 0.708 0.603 0.530
O13 0.808 0.403 0.972
O14 0.831 0.106 0.403
O15 0.958 0.603 0.269
O16 0.960 0.815 0.848

SG: P-1 (2)
E_form (uncorrected) in eV/f.u.: -76.28

=====

[11]
Compound: Li3MnSiO5
Source: Alexandria
Functional: meta-GGA SCAN
Structure: single point on PBEsol structure

a b c (Å): 5.413 15.534 4.877
angles (deg): 90.00 90.00 90.00
Fractional positions:
Li1 0.163 0.090 0.000
Li2 0.164 0.505 0.006
Li3 0.175 0.696 0.014
Li4 0.325 0.196 0.514
Li5 0.336 0.005 0.506
Li6 0.337 0.590 0.500
Li7 0.663 0.410 0.000
Li8 0.664 0.995 0.006
Li9 0.675 0.804 0.014
Li10 0.825 0.304 0.514
Li11 0.836 0.495 0.506
Li12 0.837 0.910 0.500
Mn1 0.167 0.299 0.013
Mn2 0.333 0.799 0.513
Mn3 0.667 0.201 0.013
Mn4 0.833 0.701 0.513
Si1 0.167 0.901 0.010
Si2 0.333 0.401 0.510
Si3 0.667 0.599 0.010
Si4 0.833 0.099 0.510
O1 0.120 0.102 0.608
O2 0.161 0.701 0.597
O3 0.176 0.896 0.665
O4 0.182 0.485 0.610
O5 0.186 0.311 0.612
O6 0.314 0.811 0.112
O7 0.318 0.985 0.110
O8 0.324 0.396 0.165
O9 0.339 0.201 0.097
O10 0.380 0.602 0.108
O11 0.620 0.398 0.608
O12 0.661 0.799 0.597
O13 0.676 0.604 0.665
O14 0.682 0.015 0.610
O15 0.686 0.189 0.612
O16 0.814 0.689 0.112
O17 0.818 0.515 0.110
O18 0.824 0.104 0.165
O19 0.839 0.299 0.097
O20 0.880 0.898 0.108

Fermi-level density of states in states/eV per cell: 2.4
SG: Pna2_1 (33)
E_form (uncorrected) in eV/f.u.: -24.77

=====

[12]
Compound: Li2MnSi4O11
Source: Alexandria
Functional: meta-GGA SCAN
Structure: single point on PBEsol structure

a b c (Å): 8.217 8.217 8.217
angles (deg): 102.65 102.65 124.20
Fractional positions:
Li1 0.115 0.837 0.952
Li2 0.163 0.115 0.277
Li3 0.837 0.885 0.723
Li4 0.885 0.163 0.048
Mn1 0.256 0.256 0.000
Mn2 0.744 0.744 0.000
Si1 0.006 0.330 0.722
Si2 0.284 0.006 0.675
Si3 0.330 0.608 0.325
Si4 0.392 0.716 0.722
Si5 0.608 0.284 0.278
Si6 0.670 0.392 0.675
Si7 0.716 0.994 0.325
Si8 0.994 0.670 0.278
O1 0.000 0.000 0.000
O2 0.060 0.306 0.912
O3 0.089 0.539 0.265
O4 0.149 0.060 0.754
O5 0.176 0.911 0.450
O6 0.211 0.461 0.673
O7 0.274 0.824 0.735
O8 0.306 0.394 0.246
O9 0.394 0.149 0.088
O10 0.461 0.726 0.550
O11 0.461 0.789 0.250
O12 0.500 0.500 0.000
O13 0.539 0.211 0.750
O14 0.539 0.274 0.450
O15 0.606 0.851 0.912
O16 0.694 0.606 0.754
O17 0.726 0.176 0.265
O18 0.789 0.539 0.327
O19 0.824 0.089 0.550
O20 0.851 0.940 0.246
O21 0.911 0.461 0.735
O22 0.940 0.694 0.088

SG: I4/m (87)
E_form (uncorrected) in eV/f.u.: -49.20

=====

[13]
Compound: Li4MnSi2O7
Source: Alexandria
Functional: meta-GGA SCAN
Structure: single point on PBEsol structure

a b c (Å): 5.238 5.238 6.788
angles (deg): 99.92 99.92 50.75
Fractional positions:
Li1 0.149 0.149 0.438
Li2 0.296 0.280 0.853
Li3 0.720 0.704 0.147
Li4 0.851 0.851 0.562
Mn1 0.015 0.985 0.000
Si1 0.448 0.400 0.290
Si2 0.600 0.552 0.710
O1 0.151 0.576 0.110
O2 0.327 0.673 0.500
O3 0.424 0.849 0.890
O4 0.518 0.071 0.344
O5 0.673 0.219 0.769
O6 0.781 0.327 0.231
O7 0.929 0.482 0.656

Energy above the most stable polymorph in this dataset in kJ per mole of atoms: 1.1
Fermi-level density of states in states/eV per cell: 0.0
SG: C2 (5)
E_form (uncorrected) in eV/f.u.: -37.05

=====

| no. | size of the total moment (Bohr magnetons per cell) |
| --- | --- |
| 1 | 14.00 |
| 2 | 27.97 |
| 3 | 19.73 |
| 4 | 12.87 |
| 5 | 2.99 |
| 6 | 4.00 |
| 7 | 10.00 |
| 8 | 18.00 |
| 9 | 9.00 |
| 10 | 20.00 |
| 11 | 16.00 |
| 12 | 6.00 |
| 13 | 5.00 |